[1]
# AcLaAu2O8 | Alexandria via LeMat-Bulk | PBE-GGA | relaxed
data_AcLaAu2O8
_chemical_formula_sum 'Ac1 La1 Au2 O8'
_cell_length_a 5.758
_cell_length_b 5.758
_cell_length_c 6.798
_cell_angle_alpha 115.06
_cell_angle_beta 115.06
_cell_angle_gamma 90.00
_symmetry_space_group_name_H-M 'P 1'
_symmetry_Int_Tables_number 1
loop_
_symmetry_equiv_pos_as_xyz
'x,y,z'
loop_
_atom_site_label
_atom_site_type_symbol
_atom_site_fract_x
_atom_site_fract_y
_atom_site_fract_z
_atom_site_occupancy
Ac1 Ac 0.750 0.250 0.500 1
La1 La 0.000 0.000 0.000 1
Au1 Au 0.500 0.500 0.000 1
Au2 Au 0.250 0.750 0.500 1
O1 O 0.649 0.854 0.067 1
O2 O 0.418 0.212 0.067 1
O3 O 0.613 0.688 0.575 1
O4 O 0.962 0.887 0.575 1
O5 O 0.113 0.387 0.425 1
O6 O 0.312 0.038 0.425 1
O7 O 0.146 0.582 0.933 1
O8 O 0.788 0.351 0.933 1
# volume: 15.0 Å³ per atom
# total moment: 4.09 μB per formula unit

[2]
# Mg5Si6 | Alexandria via LeMat-Bulk | PBE-GGA | relaxed
data_Mg5Si6
_chemical_formula_sum 'Mg10 Si12'
_cell_length_a 15.351
_cell_length_b 15.351
_cell_length_c 6.853
_cell_angle_alpha 75.50
_cell_angle_beta 75.50
_cell_angle_gamma 15.02
_symmetry_space_group_name_H-M 'P 1'
_symmetry_Int_Tables_number 1
loop_
_symmetry_equiv_pos_as_xyz
'x,y,z'
loop_
_atom_site_label
_atom_site_type_symbol
_atom_site_fract_x
_atom_site_fract_y
_atom_site_fract_z
_atom_site_occupancy
Mg1 Mg 0.738 0.738 0.002 1
Mg2 Mg 0.946 0.946 0.530 1
Mg3 Mg 0.521 0.521 0.628 1
Mg4 Mg 0.370 0.370 0.440 1
Mg5 Mg 0.781 0.781 0.535 1
Mg6 Mg 0.109 0.109 0.551 1
Mg7 Mg 0.484 0.484 0.178 1
Mg8 Mg 0.406 0.406 0.885 1
Mg9 Mg 0.212 0.212 0.425 1
Mg10 Mg 0.156 0.156 0.006 1
Si1 Si 0.677 0.677 0.703 1
Si2 Si 0.663 0.663 0.319 1
Si3 Si 0.918 0.918 0.188 1
Si4 Si 0.973 0.973 0.877 1
Si5 Si 0.593 0.593 0.871 1
Si6 Si 0.297 0.297 0.178 1
Si7 Si 0.853 0.853 0.747 1
Si8 Si 0.040 0.040 0.319 1
Si9 Si 0.591 0.591 0.237 1
Si10 Si 0.297 0.297 0.807 1
Si11 Si 0.844 0.844 0.120 1
Si12 Si 0.046 0.046 0.951 1
# E above lowest polymorph: 28 meV per atom
# volume: 18.4 Å³ per atom
# total moment: 0.00 μB per formula unit

[3]
# ScCu2BPb | Alexandria via LeMat-Bulk | PBE-GGA | relaxed
data_ScCu2BPb
_chemical_formula_sum 'Sc1 Cu2 B1 Pb1'
_cell_length_a 4.834
_cell_length_b 4.612
_cell_length_c 4.834
_cell_angle_alpha 90.00
_cell_angle_beta 90.00
_cell_angle_gamma 90.00
_symmetry_space_group_name_H-M 'P 1'
_symmetry_Int_Tables_number 1
loop_
_symmetry_equiv_pos_as_xyz
'x,y,z'
loop_
_atom_site_label
_atom_site_type_symbol
_atom_site_fract_x
_atom_site_fract_y
_atom_site_fract_z
_atom_site_occupancy
Pb1 Pb 0.000 0.000 0.000 1
Sc1 Sc 0.500 0.500 0.500 1
B1 B 0.000 0.500 0.000 1
Cu1 Cu 0.000 0.000 0.500 1
Cu2 Cu 0.500 0.000 0.000 1
# energy of formation from the pure elements: 1241 meV/atom
# volume: 21.6 Å³ per atom
# total moment: 0.00 μB per formula unit

[4]
# PrNi2Sn4 | Alexandria via LeMat-Bulk | PBE-GGA | relaxed
data_PrNi2Sn4
_chemical_formula_sum 'Pr2 Ni4 Sn8'
_cell_length_a 4.077
_cell_length_b 8.692
_cell_length_c 8.692
_cell_angle_alpha 90.00
_cell_angle_beta 90.00
_cell_angle_gamma 90.00
_symmetry_space_group_name_H-M 'P 1'
_symmetry_Int_Tables_number 1
loop_
_symmetry_equiv_pos_as_xyz
'x,y,z'
loop_
_atom_site_label
_atom_site_type_symbol
_atom_site_fract_x
_atom_site_fract_y
_atom_site_fract_z
_atom_site_occupancy
Pr1 Pr 0.500 0.000 0.000 1
Pr2 Pr 0.000 0.500 0.500 1
Ni1 Ni 0.000 0.222 0.778 1
Ni2 Ni 0.000 0.778 0.222 1
Ni3 Ni 0.500 0.722 0.722 1
Ni4 Ni 0.500 0.278 0.278 1
Sn1 Sn 0.000 0.068 0.307 1
Sn2 Sn 0.000 0.932 0.693 1
Sn3 Sn 0.500 0.193 0.568 1
Sn4 Sn 0.500 0.807 0.432 1
Sn5 Sn 0.500 0.432 0.807 1
Sn6 Sn 0.500 0.568 0.193 1
Sn7 Sn 0.000 0.307 0.068 1
Sn8 Sn 0.000 0.693 0.932 1
# energy of formation from the pure elements: -286 meV/atom
# E above lowest polymorph: 93 meV per atom
# volume: 22.0 Å³ per atom
# total moment: 0.00 μB per formula unit

For reference, electronic total energy by record: -69.40; -79.85; -18.71; -68.70 eV per cell.